#A
Compound: CaTiTeN2
Source: Alexandria via LeMat-Bulk
Functional: PBE-GGA
Structure: optimized geometry

Calculated values
As for the crystal system: tetragonal. The density of states at the Fermi level is 1.25 states/eV per atom.

a = 4.3957 Å, b = 4.3957 Å, c = 6.0634 Å
α = 90.00°, β = 90.00°, γ = 90.00°
Atoms (fractional coordinates):
Ca 0.0000 0.0000 0.0000
Ti 0.5000 0.5000 0.5000
Te 0.0000 0.0000 0.5000
N 0.0000 0.5000 0.0000
N 0.5000 0.0000 0.0000


#B
Compound: CaTiTeN2
Source: Alexandria via LeMat-Bulk
Functional: PBE-GGA
Structure: optimized geometry

Calculated values
As for the crystal system: tetragonal. The density of states at the Fermi level is 0.73 states/eV per atom.

a = 4.0861 Å, b = 4.0861 Å, c = 5.6893 Å
α = 90.00°, β = 90.00°, γ = 90.00°
Atoms (fractional coordinates):
Ca 0.0000 0.0000 0.0000
Ti 0.5000 0.5000 0.5000
Te 0.5000 0.5000 0.0000
N 0.0000 0.5000 0.5000
N 0.5000 0.0000 0.5000


What should be chosen as the most stable of them? Choose #B.